Compound: Sr2ScW
Source: Alexandria
Functional: PBE-GGA
Structure: relaxed

The space group is I-42d (No. 122) and the conventional cell measures 11.4552, 11.4552 and 5.0007 Å, with angles of 90.00, 90.00 and 90.00 degrees. The asymmetric unit holds Sr at (0.0958, 0.2500, 0.1250), Sc at (0.0000, 0.0000, 0.5000) and W at (0.0000, 0.0000, 0.0000).

As for the magnetic moment: 3.97 μB/cell. The calculation puts the energy above the most stable polymorph in this dataset at 0.544 eV/atom. Its energy of formation from the pure elements is 1.160 eV/atom.

Compound: Sr2ScW
Source: Alexandria
Functional: PBE-GGA
Structure: relaxed

The space group is Fm-3m (No. 225) and the conventional cell measures 7.8207, 7.8207 and 7.8207 Å, with angles of 90.00, 90.00 and 90.00 degrees. The asymmetric unit holds Sr at (0.2500, 0.2500, 0.2500), Sc at (0.0000, 0.0000, 0.0000) and W at (0.0000, 0.0000, 0.5000).

As for the magnetic moment: 12.07 μB/cell. The calculation puts the energy above the most stable polymorph in this dataset at 0.534 eV/atom. Its energy of formation from the pure elements is 1.149 eV/atom.

Compound: SrScW2
Source: Alexandria
Functional: PBE-GGA
Structure: relaxed

The space group is R3m (No. 160, hexagonal axes) and the conventional cell measures 3.2246, 3.2246 and 30.5390 Å, with angles of 90.00, 90.00 and 120.00 degrees. The asymmetric unit holds Sr at (0.0000, 0.0000, 0.0000), Sc at (0.0000, 0.0000, 0.2229), W at (0.0000, 0.0000, 0.4826) and W at (0.0000, 0.0000, 0.7566).

As for the magnetic moment: 0.00 μB/cell. The calculation puts the energy above the most stable polymorph in this dataset at 0.277 eV/atom. Its energy of formation from the pure elements is 0.735 eV/atom.

Compound: SrScW2
Source: Alexandria
Functional: PBE-GGA
Structure: relaxed

The space group is Immm (No. 71) and the conventional cell measures 3.4871, 4.5253 and 10.2944 Å, with angles of 90.00, 90.00 and 90.00 degrees. The asymmetric unit holds Sr at (0.0000, 0.0000, 0.0000), Sc at (0.0000, 0.0000, 0.5000) and W at (0.0000, 0.5000, 0.2419).

As for the magnetic moment: 0.00 μB/cell. The calculation puts the energy above the most stable polymorph in this dataset at 0.550 eV/atom. Its energy of formation from the pure elements is 1.008 eV/atom.

Compound: SrScW2
Source: Alexandria
Functional: PBE-GGA
Structure: relaxed

The space group is I-42d (No. 122) and the conventional cell measures 4.6577, 4.6577 and 19.9699 Å, with angles of 90.00, 90.00 and 90.00 degrees. The asymmetric unit holds Sr at (0.0000, 0.0000, 0.0000), Sc at (0.0000, 0.0000, 0.5000) and W at (0.0934, 0.2500, 0.6250).

As for the magnetic moment: 0.00 μB/cell. The calculation puts the energy above the most stable polymorph in this dataset at 0.939 eV/atom. Its energy of formation from the pure elements is 1.397 eV/atom.

Compound: Sr4ScW
Source: Alexandria
Functional: PBE-GGA
Structure: relaxed

The space group is F-43m (No. 216) and the conventional cell measures 9.6788, 9.6788 and 9.6788 Å, with angles of 90.00, 90.00 and 90.00 degrees. The asymmetric unit holds Sr at (0.1248, 0.1248, 0.1248), Sc at (0.0000, 0.0000, 0.5000) and W at (0.2500, 0.2500, 0.7500).

As for the magnetic moment: 11.11 μB/cell. Its energy of formation from the pure elements is 1.338 eV/atom.

Compound: SrScW
Source: Alexandria
Functional: PBE-GGA
Structure: relaxed

The space group is I4mm (No. 107) and the conventional cell measures 3.6108, 3.6108 and 11.9656 Å, with angles of 90.00, 90.00 and 90.00 degrees. The asymmetric unit holds Sr at (0.0000, 0.0000, 0.0000), Sc at (0.0000, 0.0000, 0.7216) and W at (0.0000, 0.0000, 0.3109).

As for the magnetic moment: 0.00 μB/cell. The calculation puts the energy above the most stable polymorph in this dataset at 0.053 eV/atom. Its energy of formation from the pure elements is 0.818 eV/atom.

Compound: Sr2ScW
Source: Alexandria
Functional: PBE-GGA
Structure: relaxed

The space group is R-3m (No. 166, hexagonal axes) and the conventional cell measures 3.3246, 3.3246 and 35.2541 Å, with angles of 90.00, 90.00 and 120.00 degrees. The asymmetric unit holds Sr at (0.0000, 0.0000, 0.2410), Sc at (0.0000, 0.0000, 0.0000) and W at (0.0000, 0.0000, 0.5000).

As for the magnetic moment: 1.97 μB/cell. The calculation puts the energy above the most stable polymorph in this dataset at 0.495 eV/atom. Its energy of formation from the pure elements is 1.110 eV/atom.

Compound: Sr2ScW
Source: Alexandria
Functional: PBE-GGA
Structure: relaxed

The space group is P2/m (No. 10) and the conventional cell measures 3.1911, 5.3033 and 6.5538 Å, with angles of 90.00, 90.39 and 90.00 degrees. The asymmetric unit holds Sr at (0.0036, 0.0000, 0.2337), Sc at (0.5000, 0.5000, 0.5000) and W at (0.5000, 0.5000, 0.0000).

As for the magnetic moment: 0.00 μB/cell. The calculation puts the energy above the most stable polymorph in this dataset at 0.462 eV/atom. Its energy of formation from the pure elements is 1.078 eV/atom.

Compound: SrScW2
Source: Alexandria
Functional: PBE-GGA
Structure: relaxed

The space group is P4mm (No. 99) and the conventional cell measures 3.3128, 3.3128 and 8.6359 Å, with angles of 90.00, 90.00 and 90.00 degrees. The asymmetric unit holds Sr at (0.0000, 0.0000, 0.0000), Sc at (0.5000, 0.5000, 0.6289), W at (0.0000, 0.0000, 0.4286) and W at (0.5000, 0.5000, 0.2812).

As for the magnetic moment: 0.00 μB/cell. The calculation puts the energy above the most stable polymorph in this dataset at 0.000 eV/atom. Its energy of formation from the pure elements is 0.458 eV/atom.

Compound: SrYSc2W
Source: Alexandria
Functional: PBE-GGA
Structure: relaxed

The space group is P4/mmm (No. 123) and the conventional cell measures 5.0804, 5.0804 and 5.4320 Å, with angles of 90.00, 90.00 and 90.00 degrees. The asymmetric unit holds Sr at (0.0000, 0.0000, 0.0000), Y at (0.0000, 0.0000, 0.5000), Sc at (0.0000, 0.5000, 0.5000) and W at (0.5000, 0.5000, 0.0000).

As for the magnetic moment: 0.00 μB/cell. Its energy of formation from the pure elements is 1.992 eV/atom.

Compound: Sr3YSc
Source: Alexandria
Functional: PBE-GGA
Structure: relaxed

The space group is Pm-3m (No. 221) and the conventional cell measures 6.1711, 6.1711 and 6.1711 Å, with angles of 90.00, 90.00 and 90.00 degrees. The asymmetric unit holds Sr at (0.0000, 0.0000, 0.5000), Y at (0.0000, 0.0000, 0.0000) and Sc at (0.5000, 0.5000, 0.5000).

As for the magnetic moment: 0.04 μB/cell. The calculation puts the energy above the most stable polymorph in this dataset at 0.199 eV/atom. Its energy of formation from the pure elements is 0.994 eV/atom.